No. 1
# GGA-PBE Mg4Si3, optimized geometry
# Excess energy over the best structure of this formula in the dataset: 18 meV/atom
# N(E_F): 1.33 states/eV/f.u.
# SG: P-1 (2)
# DFT total energy: -45.5 eV for the cell shown
# Raw formation energy: -15 meV/atom
# Calculated density: 2.21 g/cm³
data_Mg4Si3
_space_group_name_H-M_alt 'P 1'
_space_group_IT_number 1
_cell_length_a 5.736
_cell_length_b 6.383
_cell_length_c 8.196
_cell_angle_alpha 69.24
_cell_angle_beta 79.90
_cell_angle_gamma 77.75
loop_
_space_group_symop_operation_xyz
'x,y,z'
loop_
_atom_site_label
_atom_site_type_symbol
_atom_site_fract_x
_atom_site_fract_y
_atom_site_fract_z
Si1 Si 0.667 0.407 0.919
Si2 Si 0.288 0.209 0.666
Si3 Si 0.071 0.939 0.641
Si4 Si 0.929 0.061 0.359
Si5 Si 0.333 0.593 0.081
Si6 Si 0.712 0.791 0.334
Mg1 Mg 0.000 0.000 0.000
Mg2 Mg 0.256 0.658 0.406
Mg3 Mg 0.855 0.494 0.165
Mg4 Mg 0.145 0.506 0.835
Mg5 Mg 0.744 0.342 0.594
Mg6 Mg 0.391 0.180 0.326
Mg7 Mg 0.609 0.820 0.674
Mg8 Mg 0.500 0.000 0.000


No. 2
# GGA-PBE Ho2MgZn2Pt5, optimized geometry
# N(E_F): 3.13 states/eV/f.u.
# SG: P4/mbm (127)
# DFT total energy: -104.8 eV for the cell shown
# Calculated density: 13.77 g/cm³
# DFT formation energy: -0.888 eV/atom
data_Ho2MgZn2Pt5
_space_group_name_H-M_alt 'P 1'
_space_group_IT_number 1
_cell_length_a 3.823
_cell_length_b 9.599
_cell_length_c 9.599
_cell_angle_alpha 90.00
_cell_angle_beta 90.00
_cell_angle_gamma 90.00
loop_
_space_group_symop_operation_xyz
'x,y,z'
loop_
_atom_site_label
_atom_site_type_symbol
_atom_site_fract_x
_atom_site_fract_y
_atom_site_fract_z
Pt1 Pt 0.500 0.000 0.500
Pt2 Pt 0.500 0.568 0.704
Pt3 Pt 0.500 0.068 0.796
Pt4 Pt 0.500 0.704 0.432
Pt5 Pt 0.500 0.204 0.068
Pt6 Pt 0.500 0.796 0.932
Pt7 Pt 0.500 0.296 0.568
Pt8 Pt 0.500 0.932 0.204
Pt9 Pt 0.500 0.432 0.296
Pt10 Pt 0.500 0.500 0.000
Ho1 Ho 0.000 0.176 0.324
Ho2 Ho 0.000 0.824 0.676
Ho3 Ho 0.000 0.676 0.176
Ho4 Ho 0.000 0.324 0.824
Zn1 Zn 0.000 0.878 0.378
Zn2 Zn 0.000 0.122 0.622
Zn3 Zn 0.000 0.622 0.878
Zn4 Zn 0.000 0.378 0.122
Mg1 Mg 0.000 0.500 0.500
Mg2 Mg 0.000 0.000 0.000


No. 3
# GGA-PBE LiTmBi, optimized geometry
# Excess energy over the best structure of this formula in the dataset: 283 meV/atom
# N(E_F): 2.10 states/eV/f.u.
# SG: I4mm (107)
# DFT total energy: -11.1 eV for the cell shown
# Calculated density: 8.39 g/cm³
# DFT formation energy: -0.268 eV/atom
data_LiTmBi
_space_group_name_H-M_alt 'P 1'
_space_group_IT_number 1
_cell_length_a 3.759
_cell_length_b 3.759
_cell_length_c 6.010
_cell_angle_alpha 108.23
_cell_angle_beta 108.23
_cell_angle_gamma 90.00
loop_
_space_group_symop_operation_xyz
'x,y,z'
loop_
_atom_site_label
_atom_site_type_symbol
_atom_site_fract_x
_atom_site_fract_y
_atom_site_fract_z
Bi1 Bi 0.305 0.305 0.610
Tm1 Tm 0.617 0.617 0.234
Li1 Li 0.928 0.928 0.856